Record 1
Compound: Nd3RuRh
Source: Alexandria via LeMat-Bulk
Functional: PBE
Structure: optimized geometry

Results
ΔE_f	-0.320	eV per atom
crystal system	monoclinic
density	7.9	g/cm3
symmetry	C2/m (12)
raw total energy	-65.06	eV per cell
ΔE to the lowest computed polymorph	0.022	eV per atom
DOS(E_F)	0.65	states/eV per atom

Lattice parameters (Å, degrees): 4.0307 6.9253 10.0847 81.43 90.00 73.08
Fractional positions:
1 Nd 0.0062 0.3771 0.0833
2 Nd 0.2817 0.8262 0.5972
3 Nd 0.8096 0.7704 0.3000
4 Nd 0.5491 0.2915 0.4137
5 Nd 0.5341 0.3213 0.7861
6 Nd 0.2668 0.8560 0.9696
7 Ru 0.6465 0.0965 0.0728
8 Ru 0.1693 0.0510 0.3105
9 Rh 0.8702 0.6492 0.8177
10 Rh 0.9456 0.4983 0.5656

Record 2
Compound: Nd3MgBi4
Source: Alexandria via LeMat-Bulk
Functional: PBE
Structure: optimized geometry

Results
ΔE_f	-0.656	eV per atom
crystal system	cubic
density	7.9	g/cm3
symmetry	Pm-3m (221)
raw total energy	-36.67	eV per cell
DOS(E_F)	0.48	states/eV per atom

Lattice parameters (Å, degrees): 6.4818 6.4818 6.4818 90.00 90.00 90.00
Fractional positions:
1 Bi 0.0000 0.5000 0.0000
2 Bi 0.5000 0.0000 0.0000
3 Bi 0.0000 0.0000 0.5000
4 Bi 0.5000 0.5000 0.5000
5 Nd 0.5000 0.0000 0.5000
6 Nd 0.0000 0.5000 0.5000
7 Nd 0.5000 0.5000 0.0000
8 Mg 0.0000 0.0000 0.0000

Record 3
Compound: MnNi2H2
Source: Alexandria via LeMat-Bulk
Functional: PBE
Structure: optimized geometry

Results
crystal system	tetragonal
density	6.8	g/cm3
symmetry	P4/mbm (127)
raw total energy	-54.23	eV per cell
ΔE to the lowest computed polymorph	0.036	eV per atom
DOS(E_F)	0.67	states/eV per atom

Lattice parameters (Å, degrees): 4.9230 4.9230 3.5358 90.00 90.00 90.00
Fractional positions:
1 H 0.3307 0.1693 0.0000
2 H 0.1693 0.6693 0.0000
3 H 0.6693 0.8307 0.0000
4 H 0.8307 0.3307 0.0000
5 Mn 0.5000 0.5000 0.0000
6 Mn 0.0000 0.0000 0.0000
7 Ni 0.1803 0.6803 0.5000
8 Ni 0.6803 0.8197 0.5000
9 Ni 0.3197 0.1803 0.5000
10 Ni 0.8197 0.3197 0.5000

Record 4
Compound: USnRh2
Source: Alexandria via LeMat-Bulk
Functional: PBE
Structure: optimized geometry

Results
ΔE_f	-0.348	eV per atom
crystal system	trigonal
density	11.3	g/cm3
symmetry	R3m (160)
raw total energy	-31.38	eV per cell
DOS(E_F)	1.51	states/eV per atom

Lattice parameters (Å, degrees): 3.8339 3.8339 6.8342 73.71 73.71 60.00
Fractional positions:
1 Rh 0.0829 0.0829 0.7514
2 Rh 0.2508 0.2508 0.2477
3 Sn 0.4980 0.4980 0.5060
4 U 0.6684 0.6684 0.9949

Record 5
Compound: Pr2SO4F2
Source: Alexandria via LeMat-Bulk
Functional: PBE
Structure: optimized geometry

Results
crystal system	monoclinic
density	4.6	g/cm3
symmetry	C2/m (12)
raw total energy	-58.93	eV per cell
formation energy (no corrections)	-2408	meV/atom
DOS(E_F)	0.13	states/eV per atom

Lattice parameters (Å, degrees): 7.1275 4.8325 4.8325 68.88 102.51 102.51
Fractional positions:
1 O 0.3815 0.6305 0.0914
2 O 0.6185 0.9086 0.3695
3 O 0.3815 0.0914 0.6305
4 O 0.6185 0.3695 0.9086
5 Pr 0.7156 0.4171 0.4171
6 Pr 0.2844 0.5829 0.5829
7 F 0.0102 0.3434 0.3434
8 F 0.9898 0.6566 0.6566
9 S 0.5000 0.0000 0.0000

Record 6
Compound: ZrNi2Rh3
Source: Alexandria via LeMat-Bulk
Functional: PBE
Structure: optimized geometry

Results
ΔE_f	-0.320	eV per atom
crystal system	trigonal
density	10.0	g/cm3
symmetry	R-3m (166)
raw total energy	-88.17	eV per cell
DOS(E_F)	1.46	states/eV per atom

Lattice parameters (Å, degrees): 5.5269 5.5269 7.2564 67.62 67.62 60.00
Fractional positions:
1 Ni 0.5000 0.5000 0.0000
2 Ni 0.0000 0.5000 0.0000
3 Ni 0.0000 0.0000 0.0000
4 Ni 0.5000 0.0000 0.0000
5 Rh 0.7673 0.2750 0.6828
6 Rh 0.2750 0.7673 0.6828
7 Rh 0.2327 0.7250 0.3172
8 Rh 0.7250 0.7250 0.3172
9 Rh 0.2750 0.2750 0.6828
10 Rh 0.7250 0.2327 0.3172
11 Zr 0.7813 0.7813 0.6560
12 Zr 0.2187 0.2187 0.3440

Record 7
Compound: Ba2AcTlSe4
Source: Alexandria via LeMat-Bulk
Functional: PBE
Structure: optimized geometry

Results
crystal system	monoclinic
density	6.0	g/cm3
symmetry	P2/m (10)
raw total energy	-37.92	eV per cell
formation energy (no corrections)	-1707	meV/atom

Lattice parameters (Å, degrees): 4.6615 7.9543 8.1142 71.20 90.00 90.00
Fractional positions:
1 Ac 0.0000 0.5000 0.5000
2 Se 0.5000 0.7361 0.2664
3 Se 0.5000 0.2639 0.7336
4 Se 0.0000 0.2538 0.2674
5 Se 0.0000 0.7462 0.7326
6 Ba 0.5000 0.0000 0.5000
7 Ba 0.0000 0.0000 0.0000
8 Tl 0.5000 0.5000 0.0000

Record 8
Compound: Pm2BiSe4
Source: Alexandria via LeMat-Bulk
Functional: PBE
Structure: optimized geometry

Results
crystal system	monoclinic
density	6.1	g/cm3
symmetry	C2/m (12)
raw total energy	-36.42	eV per cell
formation energy (no corrections)	-1300	meV/atom
DOS(E_F)	0.38	states/eV per atom

Lattice parameters (Å, degrees): 4.1242 7.4632 8.3810 117.07 104.24 90.00
Fractional positions:
1 Se 0.6398 0.2940 0.2795
2 Se 0.1282 0.8184 0.2563
3 Se 0.8718 0.1816 0.7437
4 Se 0.3602 0.7060 0.7205
5 Bi 0.0000 0.0000 0.0000
6 Pm 0.7320 0.7433 0.4640
7 Pm 0.2680 0.2567 0.5360

Question: What is the raw total energy in the fourth record?
Answer: -31.38 eV per cell